Computed, not measured: an optimized crystal structure of Tm2Al2CdPt5 at the PBE level of DFT.

Cell and atoms, written as extended XYZ:
```
20
Lattice="-2.267 -2.942 -0.474 7.744 -5.972 0.026 -0.777 -0.965 9.700" Properties=species:S:1:pos:R:3 pbc="T T T"
Tm 5.107 -4.216 1.738
Tm 1.860 -2.721 7.989
Tm 1.122 -1.370 3.135
Tm 5.845 -5.566 6.592
Al 0.454 -1.321 6.026
Al 6.514 -5.616 3.701
Al 4.125 -4.556 8.544
Al 2.842 -2.381 1.182
Cd 0.000 0.000 0.000
Cd 3.484 -3.468 4.863
Pt 0.456 -2.803 0.431
Pt 4.244 -7.074 8.822
Pt -1.216 -2.639 7.407
Pt 4.046 -6.140 3.969
Pt 5.917 -7.239 1.845
Pt 0.654 -3.738 5.283
Pt 2.715 -5.551 6.686
Pt 1.986 -4.326 2.567
Pt 2.739 -4.457 -0.224
Pt -1.522 -1.953 4.613
```

formation enthalpy at 0 K: -21.6 kcal/mol of atoms
space-group type: P4/mbm (127)
DOS at the Fermi energy: 9.0 states/eV per cell

---

Computed, not measured: an optimized crystal structure of Y2Al4CdPt3 at the PBE level of DFT.

Cell and atoms, written as extended XYZ:
```
10
Lattice="4.222 0.000 0.000 0.000 4.222 0.000 0.000 0.000 10.815" Properties=species:S:1:pos:R:3 pbc="T T T"
Y 2.111 0.000 2.570
Y 0.000 2.111 8.245
Al 2.111 2.111 0.000
Al 0.000 0.000 0.000
Al 2.111 0.000 6.962
Al 0.000 2.111 3.853
Cd 2.111 2.111 5.408
Pt 0.000 0.000 5.408
Pt 2.111 0.000 9.401
Pt 0.000 2.111 1.414
```

formation enthalpy at 0 K: -21.4 kcal/mol of atoms
space-group type: P-4m2 (115)
DOS at the Fermi energy: 5.9 states/eV per cell

---

Computed, not measured: an optimized crystal structure of AlZn2Cd2Pt5 at the PBE level of DFT.

Cell and atoms, written as extended XYZ:
```
20
Lattice="3.721 0.000 0.000 0.000 9.425 0.000 0.000 0.000 9.425" Properties=species:S:1:pos:R:3 pbc="T T T"
Al 0.000 0.000 0.000
Al 0.000 4.713 4.713
Zn 0.000 1.205 5.918
Zn 0.000 8.221 3.508
Zn 0.000 5.918 8.221
Zn 0.000 3.508 1.205
Cd 0.000 6.319 1.606
Cd 0.000 3.106 7.819
Cd 0.000 1.606 3.106
Cd 0.000 7.819 6.319
Pt 1.860 1.799 0.747
Pt 1.860 7.626 8.679
Pt 1.860 0.747 7.626
Pt 1.860 6.512 3.966
Pt 1.860 8.679 1.799
Pt 1.860 2.913 5.460
Pt 1.860 5.460 6.512
Pt 1.860 3.966 2.913
Pt 1.860 4.713 0.000
Pt 1.860 0.000 4.713
```

formation enthalpy at 0 K: -10.6 kcal/mol of atoms
space-group type: P4/mbm (127)
DOS at the Fermi energy: 5.3 states/eV per cell

---

Computed, not measured: an optimized crystal structure of Pu2AlCd at the PBE level of DFT.

Cell and atoms, written as extended XYZ:
```
4
Lattice="3.998 0.000 0.000 0.000 3.998 0.000 0.000 0.000 6.027" Properties=species:S:1:pos:R:3 pbc="T T T"
Cd 1.999 1.999 3.014
Al 1.999 1.999 0.000
Pu 0.000 0.000 4.587
Pu 0.000 0.000 1.440
```

formation enthalpy at 0 K: -0.2 kcal/mol of atoms
space-group type: P4/mmm (123)
DOS at the Fermi energy: 13.0 states/eV per cell

---

Computed, not measured: an optimized crystal structure of Pu2AlCd at the PBE level of DFT.

Cell and atoms, written as extended XYZ:
```
4
Lattice="2.971 0.000 0.000 1.485 2.573 0.000 1.485 0.858 11.913" Properties=species:S:1:pos:R:3 pbc="T T T"
Cd 0.000 0.000 0.000
Al 2.971 1.715 5.956
Pu 1.485 0.858 8.595
Pu 4.456 2.573 3.317
```

formation enthalpy at 0 K: 4.9 kcal/mol of atoms
space-group type: R-3m (166)
DOS at the Fermi energy: 12.2 states/eV per cell

---

Computed, not measured: an optimized crystal structure of Pu2AlCd at the PBE level of DFT.

Cell and atoms, written as extended XYZ:
```
4
Lattice="5.283 0.000 0.000 0.000 3.652 0.000 0.000 0.000 3.652" Properties=species:S:1:pos:R:3 pbc="T T T"
Cd 2.642 0.000 0.000
Al 2.642 1.826 1.826
Pu 0.000 0.000 1.826
Pu 0.000 1.826 0.000
```

formation enthalpy at 0 K: 8.6 kcal/mol of atoms
space-group type: P4/mmm (123)
DOS at the Fermi energy: 6.3 states/eV per cell

---

Computed, not measured: an optimized crystal structure of SmPuAlCd at the PBE level of DFT.

Cell and atoms, written as extended XYZ:
```
4
Lattice="-3.734 3.722 -0.291 -3.435 -0.014 -4.011 -5.056 -1.259 0.858" Properties=species:S:1:pos:R:3 pbc="T T T"
Cd -3.056 0.612 -0.861
Al -9.169 1.837 -2.583
Sm -6.113 1.225 -1.722
Pu 0.000 0.000 0.000
```

formation enthalpy at 0 K: -3.2 kcal/mol of atoms
space-group type: F-43m (216)
DOS at the Fermi energy: 8.1 states/eV per cell

---

Computed, not measured: an optimized crystal structure of PuThAlCd at the PBE level of DFT.

Cell and atoms, written as extended XYZ:
```
4
Lattice="-2.568 0.976 -4.524 -5.219 0.877 0.055 -1.879 4.849 -0.984" Properties=species:S:1:pos:R:3 pbc="T T T"
Cd 0.000 0.000 0.000
Al -4.833 3.351 -2.726
Th -7.250 5.027 -4.090
Pu -2.417 1.676 -1.363
```

formation enthalpy at 0 K: -0.8 kcal/mol of atoms
space-group type: F-43m (216)
DOS at the Fermi energy: 10.5 states/eV per cell

---

Computed, not measured: an optimized crystal structure of TmPuAlCd at the PBE level of DFT.

Cell and atoms, written as extended XYZ:
```
4
Lattice="5.191 0.000 0.000 2.596 4.496 0.000 2.596 1.499 4.239" Properties=species:S:1:pos:R:3 pbc="T T T"
Cd 2.596 1.499 1.060
Tm 0.000 0.000 0.000
Al 7.787 4.496 3.179
Pu 5.191 2.997 2.119
```

formation enthalpy at 0 K: -3.5 kcal/mol of atoms
space-group type: F-43m (216)
DOS at the Fermi energy: 7.7 states/eV per cell

---

Computed, not measured: an optimized crystal structure of YPuAlCd at the PBE level of DFT.

Cell and atoms, written as extended XYZ:
```
4
Lattice="5.233 0.000 0.000 2.616 4.532 0.000 2.616 1.511 4.272" Properties=species:S:1:pos:R:3 pbc="T T T"
Y 7.849 4.532 3.204
Cd 0.000 0.000 0.000
Al 5.233 3.021 2.136
Pu 2.616 1.511 1.068
```

formation enthalpy at 0 K: -3.7 kcal/mol of atoms
space-group type: F-43m (216)
DOS at the Fermi energy: 7.8 states/eV per cell

---

Computed, not measured: an optimized crystal structure of PuAlZnCd at the PBE level of DFT.

Cell and atoms, written as extended XYZ:
```
4
Lattice="-4.722 -0.023 -1.236 -1.292 -0.294 -4.698 -2.054 -4.083 -1.716" Properties=species:S:1:pos:R:3 pbc="T T T"
Zn 0.000 0.000 0.000
Cd -6.051 -3.300 -5.737
Al -4.034 -2.200 -3.825
Pu -2.017 -1.100 -1.912
```

formation enthalpy at 0 K: -1.9 kcal/mol of atoms
space-group type: F-43m (216)
DOS at the Fermi energy: 7.9 states/eV per cell

---

Computed, not measured: an optimized crystal structure of RbAlCd3 at the PBE level of DFT.

Cell and atoms, written as extended XYZ:
```
5
Lattice="6.461 0.000 0.000 0.000 6.461 0.000 0.000 0.000 6.461" Properties=species:S:1:pos:R:3 pbc="T T T"
Al 3.231 3.231 3.231
Rb 0.000 0.000 0.000
Cd 0.000 3.231 0.000
Cd 0.000 0.000 3.231
Cd 3.231 0.000 0.000
```

formation enthalpy at 0 K: 21.9 kcal/mol of atoms
space-group type: Pm-3m (221)
DOS at the Fermi energy: 7.6 states/eV per cell

---

Computed, not measured: an optimized crystal structure of RbAlCd3 at the PBE level of DFT.

Cell and atoms, written as extended XYZ:
```
5
Lattice="-4.703 0.251 2.759 2.471 -2.076 4.402 1.252 5.042 1.675" Properties=species:S:1:pos:R:3 pbc="T T T"
Al 0.000 0.000 0.000
Rb -0.490 1.609 4.417
Cd 1.236 -1.038 2.201
Cd 0.626 2.521 0.837
Cd -2.351 0.126 1.379
```

formation enthalpy at 0 K: 2.6 kcal/mol of atoms
space-group type: Pm-3m (221)
DOS at the Fermi energy: 2.6 states/eV per cell

---

Computed, not measured: an optimized crystal structure of RbAlCd2 at the PBE level of DFT.

Cell and atoms, written as extended XYZ:
```
4
Lattice="4.794 0.000 0.000 2.397 4.152 0.000 2.397 1.384 6.650" Properties=species:S:1:pos:R:3 pbc="T T T"
Al 4.794 2.768 3.325
Rb 0.000 0.000 0.000
Cd 7.192 4.152 3.960
Cd 2.397 1.384 2.691
```

formation enthalpy at 0 K: 1.0 kcal/mol of atoms
space-group type: R-3m (166)
DOS at the Fermi energy: 1.8 states/eV per cell

---

Computed, not measured: an optimized crystal structure of RbAlCd2 at the PBE level of DFT.

Cell and atoms, written as extended XYZ:
```
8
Lattice="6.064 0.000 0.000 0.000 6.064 0.000 3.032 3.032 8.745" Properties=species:S:1:pos:R:3 pbc="T T T"
Al 3.032 3.032 0.000
Al 3.032 6.064 4.372
Rb 0.000 0.000 0.000
Rb 6.064 3.032 4.372
Cd 3.032 1.516 2.186
Cd 3.032 4.548 2.186
Cd 4.548 6.065 6.559
Cd 7.580 6.064 6.559
```

formation enthalpy at 0 K: 3.7 kcal/mol of atoms
space-group type: I4_1/amd (141)
DOS at the Fermi energy: 1.6 states/eV per cell

---

Computed, not measured: an optimized crystal structure of RbAl2CdRe at the PBE level of DFT.

Cell and atoms, written as extended XYZ:
```
5
Lattice="-1.247 4.004 3.816 -1.461 -3.632 3.333 5.292 -0.276 2.019" Properties=species:S:1:pos:R:3 pbc="T T T"
Re -0.731 -1.816 1.667
Al 2.646 -0.138 1.009
Al -0.623 2.002 1.908
Rb 0.000 0.000 0.000
Cd 1.292 0.048 4.584
```

formation enthalpy at 0 K: 57.8 kcal/mol of atoms
space-group type: P4/mmm (123)
DOS at the Fermi energy: 4.0 states/eV per cell

---

Computed, not measured: an optimized crystal structure of RbAlCd2S4 at the PBE level of DFT.

Cell and atoms, written as extended XYZ:
```
8
Lattice="-0.421 -5.924 3.055 6.654 -0.182 0.553 -3.400 5.196 2.311" Properties=species:S:1:pos:R:3 pbc="T T T"
Rb 0.000 0.002 0.004
Al -0.283 2.142 4.114
Cd -0.352 -1.891 3.585
Cd 3.185 0.980 2.334
S 1.018 0.347 3.675
S 4.424 -1.331 2.461
S 1.651 -3.581 3.442
S -1.427 2.742 2.260
```

raw formation energy: -884.5 meV/atom
space-group type: I-42m (121)

---

Computed, not measured: an optimized crystal structure of RbAlCdSb2 at the PBE level of DFT.

Cell and atoms, written as extended XYZ:
```
10
Lattice="-4.928 -5.143 0.059 4.068 -3.863 3.082 -4.755 4.618 5.418" Properties=species:S:1:pos:R:3 pbc="T T T"
Rb -0.562 -1.878 5.035
Rb -5.052 -2.510 3.523
Al 0.587 -5.469 2.341
Al -1.447 -3.537 0.800
Cd 0.000 0.000 0.000
Cd 2.034 -1.931 1.541
Sb -3.554 -3.439 7.029
Sb -2.016 -4.958 3.094
Sb -3.598 0.570 5.464
Sb -2.060 -0.949 1.530
```

raw formation energy: -236.5 meV/atom
space-group type: Cmme (67)
DOS at the Fermi energy: 0.3 states/eV per cell

---

Computed, not measured: an optimized crystal structure of Rb2AlCdSe4 at the PBE level of DFT.

Cell and atoms, written as extended XYZ:
```
8
Lattice="7.148 0.000 0.000 3.574 5.888 0.000 3.574 0.000 5.888" Properties=species:S:1:pos:R:3 pbc="T T T"
Rb 3.574 2.944 2.944
Rb 7.148 2.944 2.944
Al 3.574 0.000 0.000
Cd 0.000 0.000 0.000
Se 1.971 1.836 0.000
Se 8.751 0.000 4.053
Se 5.177 0.000 1.836
Se 5.545 4.053 0.000
```

raw formation energy: -845.1 meV/atom
space-group type: I-42m (121)
DOS at the Fermi energy: 9.6 states/eV per cell

---

Computed, not measured: an optimized crystal structure of RbTiAl2Cd at the PBE level of DFT.

Cell and atoms, written as extended XYZ:
```
5
Lattice="-2.568 -2.192 -4.027 -1.491 -4.816 3.572 -4.406 2.456 1.472" Properties=species:S:1:pos:R:3 pbc="T T T"
Ti 0.000 0.000 0.000
Al -2.203 1.228 0.736
Al -1.284 -1.096 -2.014
Rb -0.745 -2.408 1.786
Cd -4.232 -2.276 0.509
```

formation enthalpy at 0 K: 20.3 kcal/mol of atoms
space-group type: P4/mmm (123)
DOS at the Fermi energy: 7.2 states/eV per cell

---

Computed, not measured: an optimized crystal structure of RbAlTlCd at the PBE level of DFT.

Cell and atoms, written as extended XYZ:
```
4
Lattice="4.785 -0.031 -0.025 -2.387 4.152 0.022 -2.385 -1.385 6.996" Properties=species:S:1:pos:R:3 pbc="T T T"
Tl 1.763 -0.903 6.515
Al -0.623 3.268 0.952
Rb -0.627 0.499 3.947
Cd 1.763 1.872 1.267
```

formation enthalpy at 0 K: 1.4 kcal/mol of atoms
space-group type: P1 (1)
DOS at the Fermi energy: 2.5 states/eV per cell

---

Computed, not measured: an optimized crystal structure of RbAlTlCd at the PBE level of DFT.

Cell and atoms, written as extended XYZ:
```
4
Lattice="3.367 0.107 -0.124 -1.092 4.560 0.142 -1.545 -0.737 8.286" Properties=species:S:1:pos:R:3 pbc="T T T"
Tl -1.687 3.313 4.703
Al 0.440 3.829 1.763
Rb 0.647 1.045 7.275
Cd -0.116 1.295 2.738
```

formation enthalpy at 0 K: 2.8 kcal/mol of atoms
space-group type: P1 (1)
DOS at the Fermi energy: 2.2 states/eV per cell

---

Computed, not measured: an optimized crystal structure of RbAlTlCd at the PBE level of DFT.

Cell and atoms, written as extended XYZ:
```
4
Lattice="3.375 0.000 -0.049 0.000 4.357 0.000 -1.307 0.000 8.422" Properties=species:S:1:pos:R:3 pbc="T T T"
Tl 1.150 2.179 3.665
Al 1.644 0.000 5.615
Rb 2.792 0.000 0.994
Cd -0.163 2.179 6.703
```

formation enthalpy at 0 K: 2.5 kcal/mol of atoms
space-group type: Pm (6)
DOS at the Fermi energy: 2.2 states/eV per cell

---

Computed, not measured: an optimized crystal structure of RbAlTlCd at the PBE level of DFT.

Cell and atoms, written as extended XYZ:
```
4
Lattice="-0.870 -2.549 1.966 1.707 -2.657 -2.691 7.629 0.641 4.208" Properties=species:S:1:pos:R:3 pbc="T T T"
Tl 4.224 -1.046 0.514
Al 4.516 -0.859 3.714
Rb 0.520 -1.194 1.510
Cd 7.060 -0.807 2.078
```

formation enthalpy at 0 K: 2.6 kcal/mol of atoms
space-group type: Pmm2 (25)
DOS at the Fermi energy: 1.8 states/eV per cell

---

Computed, not measured: an optimized crystal structure of RbAlTlCd at the PBE level of DFT.

Cell and atoms, written as extended XYZ:
```
4
Lattice="4.164 0.000 0.000 0.000 3.654 0.000 0.000 0.000 8.544" Properties=species:S:1:pos:R:3 pbc="T T T"
Tl 0.000 1.827 5.630
Al 2.082 0.000 6.884
Rb 0.000 1.827 1.065
Cd 2.082 0.000 3.762
```

formation enthalpy at 0 K: 4.1 kcal/mol of atoms
space-group type: Pmm2 (25)
DOS at the Fermi energy: 2.2 states/eV per cell

---

Computed, not measured: an optimized crystal structure of RbAlTlCd at the PBE level of DFT.

Cell and atoms, written as extended XYZ:
```
12
Lattice="4.785 0.000 0.000 -2.393 4.144 0.000 0.000 0.000 21.513" Properties=species:S:1:pos:R:3 pbc="T T T"
Tl 0.000 0.000 16.518
Tl 0.000 2.763 9.347
Tl 2.393 1.381 2.176
Al 0.000 0.000 8.415
Al 0.000 2.763 1.244
Al 2.393 1.381 15.586
Rb 0.000 0.000 4.740
Rb 0.000 2.763 19.082
Rb 2.393 1.381 11.911
Cd 0.000 0.000 0.351
Cd 0.000 2.763 14.693
Cd 2.393 1.381 7.522
```

formation enthalpy at 0 K: 1.8 kcal/mol of atoms
space-group type: R3m (160)
DOS at the Fermi energy: 2.7 states/eV per cell